(1)
A relaxed structure of HoBiSb2. Source: Alexandria via LeMat-Bulk, functional PBE.

Lattice parameters (Å, degrees): 4.122 4.122 6.613 90.00 90.00 90.00
Fractional coordinates of all 4 atoms:
Ho 0.000 0.000 0.000
Bi 0.000 0.000 0.500
Sb 0.500 0.500 0.229
Sb 0.500 0.500 0.771

Results
calculated density: 9.12 g/cm3
raw formation energy: -1.49 eV per formula unit
space group: No. 123
M_tot: 0.00 μB/atom

---

(2)
A relaxed structure of Ho5Bi5Sb. Source: Alexandria via LeMat-Bulk, functional PBE.

Lattice parameters (Å, degrees): 7.661 7.661 8.799 107.19 107.19 47.65
Fractional coordinates of all 11 atoms:
Ho 0.000 0.000 0.000
Ho 0.331 0.331 0.159
Ho 0.334 0.334 0.672
Ho 0.666 0.666 0.328
Ho 0.669 0.669 0.841
Bi 0.155 0.155 0.810
Bi 0.161 0.161 0.341
Bi 0.500 0.500 0.500
Bi 0.839 0.839 0.659
Bi 0.845 0.845 0.190
Sb 0.500 0.500 0.000

Results
calculated density: 9.16 g/cm3
raw formation energy: -7.18 eV per formula unit
space group: No. 12
M_tot: 0.00 μB/atom

---

(3)
A relaxed structure of HoBiSb2. Source: Alexandria via LeMat-Bulk, functional PBE.

Lattice parameters (Å, degrees): 11.457 11.457 11.457 17.60 17.60 17.60
Fractional coordinates of all 4 atoms:
Ho 0.000 0.000 0.000
Bi 0.500 0.500 0.500
Sb 0.405 0.405 0.405
Sb 0.595 0.595 0.595

Results
calculated density: 8.54 g/cm3
raw formation energy: -0.85 eV per formula unit
space group: No. 166
M_tot: 0.00 μB/atom

---

(4)
A relaxed structure of HoBiSb. Source: Alexandria via LeMat-Bulk, functional PBE.

Lattice parameters (Å, degrees): 8.596 8.540 8.008 62.49 61.78 55.72
Fractional coordinates of all 12 atoms:
Ho 0.055 0.055 0.695
Ho 0.305 0.305 0.945
Ho 0.695 0.695 0.055
Ho 0.945 0.945 0.305
Bi 0.000 0.500 0.500
Bi 0.500 0.000 0.500
Bi 0.500 0.500 0.000
Bi 0.500 0.500 0.500
Sb 0.048 0.702 0.048
Sb 0.298 0.952 0.298
Sb 0.702 0.048 0.702
Sb 0.952 0.298 0.952

Results
calculated density: 7.99 g/cm3
raw formation energy: -1.23 eV per formula unit
space group: No. 70
M_tot: 0.00 μB/atom

---

Which of these has the lowest calculated density?
HoBiSb

---

Which of these has the highest raw formation energy?
number 3